RbMg2Os: optimized geometry, PBE.

## Properties
Its density of states at the Fermi level is 21.0 states/eV/cell. The calculation puts the energy relative to the lowest polymorph listed for this composition at 0 meV per atom. The energy relative to the elements is 0.9726 eV per atom. The magnetization is 0.1473 μB/atom. The calculation puts the total energy at -2.87 eV per atom.

Cell: 7.1025 7.1025 7.1025 Å, 90.00 90.00 90.00°
With the nearest neighbours (Å) after each atom.
Space group Fm-3m (No. 225)
Inequivalent atoms, fractional coordinates:
Rb 0.0000 0.0000 0.0000  8 Mg 3.08
Mg 0.2500 0.2500 0.2500  4 Os 3.08, 4 Rb 3.08
Os 0.0000 0.0000 0.5000  8 Mg 3.08